(1)
Zn3Fe (PBE, optimized geometry); total magnetic moment = 8.40 μB/cell; energy relative to the elements = 15.1 kJ/mol of atoms
1.0
7.614 0.000 0.000
0.000 7.516 0.000
0.000 0.000 4.204
Zn Fe
12 4
Direct
0.000 0.088 0.250 Zn
0.000 0.912 0.750 Zn
0.169 0.288 0.750 Zn
0.169 0.712 0.250 Zn
0.331 0.212 0.250 Zn
0.331 0.788 0.750 Zn
0.500 0.412 0.750 Zn
0.500 0.588 0.250 Zn
0.669 0.212 0.250 Zn
0.669 0.788 0.750 Zn
0.831 0.288 0.750 Zn
0.831 0.712 0.250 Zn
0.000 0.417 0.250 Fe
0.000 0.583 0.750 Fe
0.500 0.083 0.750 Fe
0.500 0.917 0.250 Fe

***

(2)
Ac6TeP3Se2 (PBE, optimized geometry); total magnetic moment = 0.00 μB/cell; uncorrected formation energy = -20.2 eV/f.u.
1.0
9.877 -2.235 0.000
9.877 2.235 0.000
-2.288 0.000 8.786
Ac Te P Se
6 1 3 2
Direct
0.004 0.004 0.230 Ac
0.326 0.326 0.425 Ac
0.337 0.337 0.908 Ac
0.663 0.663 0.092 Ac
0.674 0.674 0.575 Ac
0.996 0.996 0.770 Ac
0.500 0.500 0.500 Te
0.166 0.166 0.332 P
0.500 0.500 0.000 P
0.834 0.834 0.668 P
0.168 0.168 0.834 Se
0.832 0.832 0.166 Se

***

DOS(E_F), respectively: 0.559, 0.384 states/eV per atom.
Volume, respectively: 15.037, 32.321 Å³/atom.